! BaMg2Rh, PBEsol geometry, DFT SCAN; values from VASP
! total DFT energy (no corrections)	-20.634	eV/atom
! space-group type	Pmmm
! DFT formation energy	0.183	eV per atom
! crystal system	orthorhombic
&SYSTEM
  ibrav = 0, nat = 4, ntyp = 3
/
ATOMIC_SPECIES
Ba 137.33 Ba.upf
Mg 24.30 Mg.upf
Rh 102.91 Rh.upf
ATOMIC_POSITIONS crystal
Ba 0.000 0.000 0.000
Mg 0.000 0.500 0.500
Mg 0.500 0.000 0.500
Rh 0.500 0.500 0.000
CELL_PARAMETERS angstrom
4.255 0.000 0.000
0.000 4.325 0.000
0.000 0.000 5.278



! BaMg2Rh2, PBEsol geometry, DFT SCAN; values from VASP
! total DFT energy (no corrections)	-23.749	eV/atom
! space-group type	I4/mmm
! DFT formation energy	-0.340	eV per atom
! crystal system	tetragonal
&SYSTEM
  ibrav = 0, nat = 5, ntyp = 3
/
ATOMIC_SPECIES
Ba 137.33 Ba.upf
Mg 24.30 Mg.upf
Rh 102.91 Rh.upf
ATOMIC_POSITIONS crystal
Ba 0.000 0.000 0.000
Mg 0.250 0.750 0.500
Mg 0.750 0.250 0.500
Rh 0.388 0.388 0.000
Rh 0.612 0.612 0.000
CELL_PARAMETERS angstrom
-2.197 2.197 5.597
2.197 -2.197 5.597
2.197 2.197 -5.597



! Ba2MgRh, PBEsol geometry, DFT SCAN; values from VASP
! total DFT energy (no corrections)	-29.692	eV/atom
! space-group type	R3m
! DFT formation energy	-0.230	eV per atom
! crystal system	trigonal
&SYSTEM
  ibrav = 0, nat = 4, ntyp = 3
/
ATOMIC_SPECIES
Ba 137.33 Ba.upf
Mg 24.30 Mg.upf
Rh 102.91 Rh.upf
ATOMIC_POSITIONS crystal
Ba 0.000 0.000 0.000
Ba 0.170 0.170 0.170
Mg 0.751 0.751 0.751
Rh 0.418 0.418 0.418
CELL_PARAMETERS angstrom
2.285 1.319 8.388
-2.285 1.319 8.388
0.000 -2.639 8.388



! BaMg2Rh, PBEsol geometry, DFT SCAN; values from VASP
! total DFT energy (no corrections)	-21.089	eV/atom
! space-group type	Cm
! DFT formation energy	-0.272	eV per atom
! crystal system	monoclinic
&SYSTEM
  ibrav = 0, nat = 4, ntyp = 3
/
ATOMIC_SPECIES
Ba 137.33 Ba.upf
Mg 24.30 Mg.upf
Rh 102.91 Rh.upf
ATOMIC_POSITIONS crystal
Ba 0.000 0.000 0.000
Mg 0.523 0.523 0.572
Mg 0.805 0.805 0.417
Rh 0.184 0.184 0.554
CELL_PARAMETERS angstrom
4.031 -2.330 0.000
4.031 2.330 0.000
-2.679 0.000 5.760



! Ba2MgRh, PBEsol geometry, DFT SCAN; values from VASP
! total DFT energy (no corrections)	-29.320	eV/atom
! space-group type	I-4m2
! DFT formation energy	0.141	eV per atom
! crystal system	tetragonal
&SYSTEM
  ibrav = 0, nat = 4, ntyp = 3
/
ATOMIC_SPECIES
Ba 137.33 Ba.upf
Mg 24.30 Mg.upf
Rh 102.91 Rh.upf
ATOMIC_POSITIONS crystal
Ba 0.000 0.000 0.000
Ba 0.750 0.250 0.500
Mg 0.500 0.500 0.000
Rh 0.250 0.750 0.500
CELL_PARAMETERS angstrom
-2.681 2.681 3.769
2.681 -2.681 3.769
2.681 2.681 -3.769



! BaMg2Ru, PBEsol geometry, DFT SCAN; values from VASP
! total DFT energy (no corrections)	-20.443	eV/atom
! space-group type	Cmmm
! DFT formation energy	0.638	eV per atom
! crystal system	orthorhombic
&SYSTEM
  ibrav = 0, nat = 4, ntyp = 3
/
ATOMIC_SPECIES
Ba 137.33 Ba.upf
Mg 24.30 Mg.upf
Ru 101.07 Ru.upf
ATOMIC_POSITIONS crystal
Ba 0.000 0.000 0.000
Mg 0.000 0.500 0.500
Mg 0.500 0.000 0.500
Ru 0.500 0.500 0.000
CELL_PARAMETERS angstrom
2.962 -4.553 0.000
2.962 4.553 0.000
0.000 0.000 3.286



! Ba2MgRu, PBEsol geometry, DFT SCAN; values from VASP
! total DFT energy (no corrections)	-29.419	eV/atom
! space-group type	Amm2
! DFT formation energy	0.306	eV per atom
! crystal system	orthorhombic
&SYSTEM
  ibrav = 0, nat = 4, ntyp = 3
/
ATOMIC_SPECIES
Ba 137.33 Ba.upf
Mg 24.30 Mg.upf
Ru 101.07 Ru.upf
ATOMIC_POSITIONS crystal
Ba 0.000 0.000 0.000
Ba 0.500 0.283 0.283
Mg 0.000 0.692 0.692
Ru 0.500 0.596 0.596
CELL_PARAMETERS angstrom
4.669 0.000 0.000
0.000 2.381 5.899
0.000 -2.381 5.899



! BaMg2Ru, PBEsol geometry, DFT SCAN; values from VASP
! total DFT energy (no corrections)	-20.471	eV/atom
! space-group type	P4/mmm
! DFT formation energy	0.610	eV per atom
! crystal system	tetragonal
&SYSTEM
  ibrav = 0, nat = 4, ntyp = 3
/
ATOMIC_SPECIES
Ba 137.33 Ba.upf
Mg 24.30 Mg.upf
Ru 101.07 Ru.upf
ATOMIC_POSITIONS crystal
Ba 0.000 0.000 0.000
Mg 0.000 0.500 0.500
Mg 0.500 0.000 0.500
Ru 0.500 0.500 0.000
CELL_PARAMETERS angstrom
4.225 0.000 0.000
0.000 4.225 0.000
0.000 0.000 5.152



! Ba2MgRu, PBEsol geometry, DFT SCAN; values from VASP
! total DFT energy (no corrections)	-29.413	eV/atom
! space-group type	Imm2
! DFT formation energy	0.312	eV per atom
! crystal system	orthorhombic
&SYSTEM
  ibrav = 0, nat = 4, ntyp = 3
/
ATOMIC_SPECIES
Ba 137.33 Ba.upf
Mg 24.30 Mg.upf
Ru 101.07 Ru.upf
ATOMIC_POSITIONS crystal
Ba 0.000 0.000 0.000
Ba 0.689 0.189 0.500
Mg 0.320 0.820 0.500
Ru 0.483 0.483 0.000
CELL_PARAMETERS angstrom
-1.823 2.820 5.913
1.823 -2.820 5.913
1.823 2.820 -5.913



! Ba2MgRu, PBEsol geometry, DFT SCAN; values from VASP
! total DFT energy (no corrections)	-29.545	eV/atom
! space-group type	Cm
! DFT formation energy	0.180	eV per atom
! crystal system	monoclinic
&SYSTEM
  ibrav = 0, nat = 4, ntyp = 3
/
ATOMIC_SPECIES
Ba 137.33 Ba.upf
Mg 24.30 Mg.upf
Ru 101.07 Ru.upf
ATOMIC_POSITIONS crystal
Ba 0.000 0.000 0.000
Ba 0.168 0.168 0.510
Mg 0.750 0.750 0.255
Ru 0.416 0.416 0.255
CELL_PARAMETERS angstrom
3.962 -2.294 0.000
3.962 2.294 0.000
-2.616 0.000 8.087



! BaMg2Ru, PBEsol geometry, DFT SCAN; values from VASP
! total DFT energy (no corrections)	-20.814	eV/atom
! space-group type	Amm2
! DFT formation energy	0.267	eV per atom
! crystal system	orthorhombic
&SYSTEM
  ibrav = 0, nat = 4, ntyp = 3
/
ATOMIC_SPECIES
Ba 137.33 Ba.upf
Mg 24.30 Mg.upf
Ru 101.07 Ru.upf
ATOMIC_POSITIONS crystal
Ba 0.000 0.000 0.000
Mg 0.000 0.281 0.281
Mg 0.500 0.742 0.742
Ru 0.500 0.385 0.385
CELL_PARAMETERS angstrom
4.424 0.000 0.000
0.000 1.924 6.357
0.000 -1.924 6.357



! BaMg2Ru, PBEsol geometry, DFT SCAN; values from VASP
! total DFT energy (no corrections)	-20.859	eV/atom
! space-group type	Imm2
! DFT formation energy	0.222	eV per atom
! crystal system	orthorhombic
&SYSTEM
  ibrav = 0, nat = 4, ntyp = 3
/
ATOMIC_SPECIES
Ba 137.33 Ba.upf
Mg 24.30 Mg.upf
Ru 101.07 Ru.upf
ATOMIC_POSITIONS crystal
Ba 0.000 0.000 0.000
Mg 0.315 0.815 0.500
Mg 0.680 0.680 0.000
Ru 0.825 0.325 0.500
CELL_PARAMETERS angstrom
-1.652 2.206 7.232
1.652 -2.206 7.232
1.652 2.206 -7.232



! BaMgRu2, PBEsol geometry, DFT SCAN; values from VASP
! total DFT energy (no corrections)	-27.931	eV/atom
! space-group type	P2/m
! DFT formation energy	0.613	eV per atom
! crystal system	monoclinic
&SYSTEM
  ibrav = 0, nat = 4, ntyp = 3
/
ATOMIC_SPECIES
Ba 137.33 Ba.upf
Mg 24.30 Mg.upf
Ru 101.07 Ru.upf
ATOMIC_POSITIONS crystal
Ba 0.000 0.000 0.000
Mg 0.500 0.000 0.500
Ru 0.234 0.500 0.664
Ru 0.766 0.500 0.336
CELL_PARAMETERS angstrom
2.934 0.000 0.000
0.000 4.493 0.000
-0.185 0.000 6.342



! Ba2MgZrRu, PBEsol geometry, DFT SCAN; values from VASP
! total DFT energy (no corrections)	-28.739	eV/atom
! space-group type	P4/mmm
! DFT formation energy	1.180	eV per atom
! crystal system	tetragonal
&SYSTEM
  ibrav = 0, nat = 5, ntyp = 4
/
ATOMIC_SPECIES
Ba 137.33 Ba.upf
Mg 24.30 Mg.upf
Zr 91.22 Zr.upf
Ru 101.07 Ru.upf
ATOMIC_POSITIONS crystal
Ba 0.000 0.500 0.000
Ba 0.500 0.000 0.000
Mg 0.000 0.000 0.000
Zr 0.500 0.500 0.500
Ru 0.000 0.000 0.500
CELL_PARAMETERS angstrom
6.106 0.000 0.000
0.000 6.106 0.000
0.000 0.000 4.684



! BaMgSb, PBEsol geometry, DFT SCAN; values from VASP
! total DFT energy (no corrections)	-28.039	eV/atom
! space-group type	P-6m2
! crystal system	hexagonal
! raw formation energy	-0.777	eV/atom
&SYSTEM
  ibrav = 0, nat = 3, ntyp = 3
/
ATOMIC_SPECIES
Ba 137.33 Ba.upf
Mg 24.30 Mg.upf
Sb 121.76 Sb.upf
ATOMIC_POSITIONS crystal
Ba 0.000 0.000 0.000
Mg 0.333 0.667 0.500
Sb 0.667 0.333 0.500
CELL_PARAMETERS angstrom
4.836 0.000 0.000
-2.418 4.188 0.000
0.000 0.000 4.895



Values of size of the total moment, in order: 0.0 0.0 0.2 0.0 0.0 0.9 0.0 0.0 0.0 0.0 0.0 0.0 0.0 2.9 0.9, all in μB/f.u..